{"formula": "K2DyV2O6", "functional": "PBE with a Hubbard U", "state": "optimized geometry", "space_group": "No. 166", "final_energy_ev_per_atom": -6.845, "lattice_angstrom": [[3.0563, 1.7646, 6.0361], [-3.0563, 1.7646, 6.0361], [0.0000, -3.5291, 6.0361]], "species": ["K", "K", "Dy", "V", "V", "O", "O", "O", "O", "O", "O"], "fractional_positions": [[0.2081, 0.2081, 0.2081], [0.7919, 0.7919, 0.7919], [0.0000, 0.0000, 0.0000], [0.4191, 0.4191, 0.4191], [0.5809, 0.5809, 0.5809], [0.2461, 0.2461, 0.7423], [0.2461, 0.7423, 0.2461], [0.2577, 0.7540, 0.7540], [0.7423, 0.2460, 0.2461], [0.7539, 0.2577, 0.7539], [0.7539, 0.7540, 0.2577]]}